Entry 1:
## TcCl2F (PBE)

Data for a relaxed structure of TcCl2F.

The structure belongs to space group Fm-3m (No. 225); the cell edges are 6.012, 6.012 and 6.012 Å and the angles 90.00°, 90.00° and 90.00°. Symmetry generates all atoms from Tc at (0.000, 0.000, 0.000), Cl at (0.250, 0.250, 0.250) and F at (0.000, 0.000, 0.500).

The calculation puts the calculated total energy at -4.032 eV per atom. The energy relative to the elements, uncorrected is -0.050 eV per atom. The calculation puts the energy relative to the lowest polymorph listed for this composition at 954.0 meV/atom.

***

Entry 2:
## YCoCu2 (PBE)

Data for a relaxed structure of YCoCu2.

The structure belongs to space group P2/m (No. 10); the cell edges are 3.180, 4.228 and 4.960 Å and the angles 90.00°, 105.76° and 90.00°. Symmetry generates all atoms from Y at (0.000, 0.000, 0.000), Co at (0.500, 0.000, 0.500) and Cu at (0.341, 0.500, 0.706).

The calculation puts the calculated total energy at -5.329 eV per atom. The formation enthalpy at 0 K comes out at 2.584 kcal/mol of atoms. The calculation puts the energy relative to the lowest polymorph listed for this composition at 175.4 meV/atom.